1.
## Nb2GeTe (PBE-GGA)

Data for a relaxed structure of Nb2GeTe.

formation energy from raw total energies = 0.28 eV/atom
polymorph energy (0 for the lowest one) = 0.381 eV per atom
electronic total energy = -6.694 eV per atom

abc: 10.076 10.076 10.076
angles: 156.25 156.25 33.83
Fractional positions:
Nb 0.116 0.625 0.991
Nb 0.375 0.366 0.491
Nb 0.634 0.125 0.009
Nb 0.875 0.884 0.509
Ge 0.000 0.000 0.000
Ge 0.750 0.250 0.500
Te 0.250 0.750 0.500
Te 0.500 0.500 0.000



2.
## CrHPd3 (PBE-GGA)

Data for a relaxed structure of CrHPd3.

polymorph energy (0 for the lowest one) = 0.125 eV per atom
electronic total energy = -5.676 eV per atom

abc: 7.187 7.187 6.357
angles: 91.84 91.84 22.38
Fractional positions:
Cr 0.222 0.222 0.374
Cr 0.778 0.778 0.626
H 0.401 0.401 0.930
H 0.599 0.599 0.070
Pd 0.041 0.041 0.204
Pd 0.176 0.176 0.902
Pd 0.404 0.404 0.433
Pd 0.596 0.596 0.567
Pd 0.824 0.824 0.098
Pd 0.959 0.959 0.796



3.
## Tb4Th2Sc3 (PBE-GGA)

Data for a relaxed structure of Tb4Th2Sc3.

polymorph energy (0 for the lowest one) = 0.000 eV per atom
formation enthalpy at 0 K = 49 meV per atom
electronic total energy = -5.768 eV per atom

abc: 6.078 8.974 10.820
angles: 71.65 73.88 89.81
Fractional positions:
Tb 0.006 0.422 0.166
Tb 0.122 0.365 0.608
Tb 0.331 0.913 0.169
Tb 0.448 0.696 0.942
Tb 0.552 0.304 0.058
Tb 0.669 0.087 0.831
Tb 0.878 0.635 0.392
Tb 0.994 0.578 0.834
Th 0.210 0.968 0.723
Th 0.338 0.762 0.507
Th 0.662 0.238 0.493
Th 0.790 0.032 0.277
Sc 0.110 0.190 0.944
Sc 0.209 0.144 0.390
Sc 0.450 0.529 0.275
Sc 0.550 0.471 0.725
Sc 0.791 0.856 0.610
Sc 0.890 0.810 0.056



4.
## Dy2Y5Ho4 (PBE-GGA)

Data for a relaxed structure of Dy2Y5Ho4.

polymorph energy (0 for the lowest one) = 0.000 eV per atom
formation enthalpy at 0 K = 22 meV per atom
electronic total energy = -5.418 eV per atom

abc: 11.774 11.774 8.697
angles: 104.07 104.07 17.30
Fractional positions:
Dy 0.090 0.090 0.225
Dy 0.910 0.910 0.775
Y 0.000 0.000 0.500
Y 0.274 0.274 0.684
Y 0.364 0.364 0.409
Y 0.636 0.636 0.591
Y 0.726 0.726 0.316
Ho 0.182 0.182 0.954
Ho 0.454 0.454 0.135
Ho 0.546 0.546 0.865
Ho 0.818 0.818 0.046